## HoErAu4 (PBE)

Data for crystalline HoErAu4 at its relaxed geometry.

Unit cell a=3.7263 b=3.7263 c=9.0445 alpha=90.00 beta=90.00 gamma=90.00
Positions (direct):
1 Ho 0.0000 0.0000 0.0000
2 Er 0.5000 0.5000 0.5000
3 Au 0.0000 0.0000 0.3361
4 Au 0.0000 0.0000 0.6639
5 Au 0.5000 0.5000 0.1652
6 Au 0.5000 0.5000 0.8348

Output
Symmetry = P4/mmm (123)
Calculated total energy = -4.585 eV per atom
E_form = -0.88 eV per atom
Crystal system = tetragonal

---

## RuPtRh2N (PBE)

Data for crystalline RuPtRh2N at its relaxed geometry.

Unit cell a=4.1020 b=4.1020 c=3.9717 alpha=90.00 beta=90.00 gamma=90.00
Positions (direct):
1 Ru 0.0000 0.0000 0.0000
2 Pt 0.5000 0.5000 0.0000
3 Rh 0.0000 0.5000 0.5000
4 Rh 0.5000 0.0000 0.5000
5 N 0.0000 0.0000 0.5000

Output
Symmetry = P4/mmm (123)
Calculated total energy = -7.394 eV per atom
Crystal system = tetragonal

---

- Look up the calculated total energy of the first one.
  -4.585 eV per atom